[1]
First-principles (PBE-GGA) data for a geometry-optimized CdIn2HgP structure, as listed in the Alexandria database.

POSCAR file:
```
CdIn2HgP
1.0
-3.6233 -1.9699 -3.2589
-2.3761 -2.3070 4.0363
-2.9628 4.2842 0.7045
P Cd Hg In
1 1 1 2
Direct
0.0000 0.0000 0.0000
0.5000 0.5000 0.5000
0.0000 0.5000 0.0000
0.0000 0.0000 0.5000
0.5000 0.0000 0.0000
```

Volume ... 144 Å³/cell
ΔE_f ... 29.78 kJ/mol of atoms
DOS at the Fermi energy ... 3.30 states/eV/f.u.
Space-group type ... P4/mmm
Uncorrected energy ... -10.56 eV for the cell shown
Spin magnetization ... 0.0 μB/cell

---

[2]
First-principles (PBE-GGA) data for a geometry-optimized PaCdInHg structure, as listed in the Alexandria database.

POSCAR file:
```
PaCdInHg
1.0
-0.1766 1.7060 -4.8654
-4.2878 -0.6269 -2.7991
-2.9183 4.0820 -1.1978
Hg Cd Pa In
1 1 1 1
Direct
0.7500 0.7500 0.7500
0.0000 0.0000 0.0000
0.5000 0.5000 0.5000
0.2500 0.2500 0.2500
```

Volume ... 97 Å³/cell
ΔE_f ... 7.52 kJ/mol of atoms
DOS at the Fermi energy ... 3.90 states/eV/f.u.
Space-group type ... F-43m
Uncorrected energy ... -13.14 eV for the cell shown
Spin magnetization ... 0.0 μB/cell

---

[3]
First-principles (PBE-GGA) data for a geometry-optimized Cd2In4HgPb structure, as listed in the Alexandria database.

POSCAR file:
```
Cd2In4HgPb
1.0
5.7248 0.0000 0.0000
0.0001 5.3566 1.6100
0.0001 3.3304 8.0500
Cd In Hg Pb
2 4 1 1
Direct
0.5000 0.0000 0.5000
0.0000 0.0000 0.0000
0.5000 0.7485 0.2473
0.0000 0.2550 0.2441
0.5000 0.2515 0.7527
0.0000 0.7450 0.7559
0.5000 0.5000 0.0000
0.0000 0.5000 0.5000
```

Volume ... 216 Å³/cell
ΔE_f ... 3.75 kJ/mol of atoms
DOS at the Fermi energy ... 3.44 states/eV/f.u.
Space-group type ... P2/m
Uncorrected energy ... -16.48 eV for the cell shown
Spin magnetization ... 0.0 μB/cell

---

[4]
First-principles (PBE-GGA) data for a geometry-optimized Cd2In2HgPb2 structure, as listed in the Alexandria database.

POSCAR file:
```
Cd2In2HgPb2
1.0
4.6766 0.0000 0.0000
-2.3383 8.0167 -0.4675
0.0000 -2.2481 5.7045
Pb Cd In Hg
2 2 2 1
Direct
0.4305 0.8610 0.1333
0.5695 0.1390 0.8667
0.7909 0.5817 0.1685
0.2091 0.4183 0.8315
0.3285 0.6570 0.5404
0.6715 0.3430 0.4596
0.0000 0.0000 0.5000
```

Volume ... 209 Å³/cell
ΔE_f ... 9.64 kJ/mol of atoms
DOS at the Fermi energy ... 2.64 states/eV/f.u.
Space-group type ... C2/m
Uncorrected energy ... -14.33 eV for the cell shown
Spin magnetization ... 0.0 μB/cell

---

[5]
First-principles (PBE-GGA) data for a geometry-optimized Cd6InHgPb structure, as listed in the Alexandria database.

POSCAR file:
```
Cd6InHgPb
1.0
8.8181 0.0000 0.0000
0.0000 9.3259 0.0000
-4.4091 -4.6629 6.4779
Pb Cd In Hg
2 12 2 2
Direct
0.8715 0.6215 0.7429
0.1285 0.3785 0.2571
0.9026 0.6158 0.2561
0.3535 0.1404 0.2561
0.3590 0.6090 0.7180
0.6465 0.8596 0.7439
0.9026 0.1404 0.2561
0.6465 0.3842 0.7439
0.3535 0.6158 0.2561
0.1013 0.8513 0.2027
0.8987 0.1487 0.7973
0.6410 0.3910 0.2820
0.0974 0.8596 0.7439
0.0974 0.3842 0.7439
0.5000 0.5000 0.0000
0.5000 0.0000 0.0000
0.0000 0.0000 0.5000
0.5000 0.0000 0.5000
```

Volume ... 533 Å³/cell
ΔE_f ... 14.31 kJ/mol of atoms
DOS at the Fermi energy ... 4.16 states/eV/f.u.
Space-group type ... Imma
Uncorrected energy ... -21.81 eV for the cell shown
Spin magnetization ... 0.0 μB/cell

---

[6]
First-principles (PBE-GGA) data for a geometry-optimized CdIn2Hg7Pb2 structure, as listed in the Alexandria database.

POSCAR file:
```
CdIn2Hg7Pb2
1.0
-0.4298 -3.4445 3.8702
5.1972 -1.3669 -0.6394
2.4869 11.3825 6.9148
In Hg Cd Pb
2 7 1 2
Direct
0.4372 0.4877 0.8743
0.5602 0.5783 0.1204
0.3739 0.9182 0.7477
0.3135 0.3924 0.6269
0.6871 0.6876 0.3742
0.4985 0.0173 0.9971
0.8838 0.2500 0.7677
0.6224 0.1271 0.2448
0.1210 0.5960 0.2421
0.0023 0.3664 0.0046
0.2486 0.8333 0.4972
0.7515 0.2454 0.5029
```

Volume ... 372 Å³/cell
ΔE_f ... 7.88 kJ/mol of atoms
DOS at the Fermi energy ... 3.14 states/eV/f.u.
Space-group type ... Cm
Uncorrected energy ... -14.94 eV for the cell shown
Spin magnetization ... 0.0 μB/cell

---

[7]
First-principles (PBE-GGA) data for a geometry-optimized CdIn6HgPb2 structure, as listed in the Alexandria database.

POSCAR file:
```
CdIn6HgPb2
1.0
7.6265 0.0000 0.3358
0.0000 8.2666 0.0000
0.3813 0.0000 9.2921
In Cd Pb Hg
12 2 4 2
Direct
0.6174 0.6378 0.4300
0.2045 0.2121 0.2832
0.7644 0.2515 0.3985
0.2356 0.7485 0.6015
0.2644 0.2485 0.8985
0.3826 0.3622 0.5700
0.8826 0.1378 0.0700
0.7955 0.7879 0.7168
0.1174 0.8622 0.9300
0.2955 0.7121 0.2168
0.7356 0.7515 0.1015
0.7045 0.2879 0.7832
0.0000 0.5000 0.0000
0.5000 0.0000 0.5000
0.5519 0.3912 0.1415
0.9481 0.8912 0.3585
0.0519 0.1088 0.6415
0.4481 0.6088 0.8585
0.0000 0.5000 0.5000
0.5000 0.0000 0.0000
```

Volume ... 585 Å³/cell
ΔE_f ... 6.65 kJ/mol of atoms
DOS at the Fermi energy ... 3.28 states/eV/f.u.
Space-group type ... P2_1/c
Uncorrected energy ... -48.75 eV for the cell shown
Spin magnetization ... 0.0 μB/cell

---

[8]
First-principles (PBE-GGA) data for a geometry-optimized Cd2InHgPb2 structure, as listed in the Alexandria database.

POSCAR file:
```
Cd2InHgPb2
1.0
6.2364 0.0000 0.0000
0.0000 6.1909 0.0000
-3.1182 -3.0955 8.5346
In Hg Pb Cd
2 2 4 4
Direct
0.2500 0.0000 0.0000
0.7500 0.0000 0.0000
0.2500 0.5000 0.0000
0.7500 0.5000 0.0000
0.1901 0.4342 0.3801
0.8099 0.5658 0.6199
0.6901 0.9460 0.3801
0.3099 0.0540 0.6199
0.8699 0.1274 0.7399
0.1301 0.8726 0.2601
0.3699 0.6124 0.7399
0.6301 0.3876 0.2601
```

Volume ... 330 Å³/cell
ΔE_f ... 4.55 kJ/mol of atoms
DOS at the Fermi energy ... 2.34 states/eV/f.u.
Space-group type ... Ibam
Uncorrected energy ... -24.01 eV for the cell shown
Spin magnetization ... 0.0 μB/cell